# PBE BaCa2Cd2, optimized geometry
# * formation energy from the elements: -103 kJ/mol of formula units
# * uncorrected energy: -1.765 eV/atom
# * DOS(E_F): 8.390 states/eV per cell
# * M_tot: 0.0000 μB per atom
# * polymorph energy (0 for the lowest one): 24 meV per atom
data_BaCa2Cd2
_chemical_formula_sum 'Ba2 Ca4 Cd4'
_cell_length_a 4.005
_cell_length_b 23.241
_cell_length_c 3.842
_cell_angle_alpha 90.00
_cell_angle_beta 90.00
_cell_angle_gamma 90.00
_symmetry_space_group_name_H-M 'C m m m'
_symmetry_Int_Tables_number 65
_symmetry_space_group_name_Hall '-C 2 2'
loop_
_atom_site_label
_atom_site_type_symbol
_atom_site_fract_x
_atom_site_fract_y
_atom_site_fract_z
Ba1 Ba 0.000 0.000 0.000
Ca1 Ca 0.000 0.179 0.000
Cd1 Cd 0.000 0.397 0.500

=====

# PBE LiPtI, optimized geometry
# * formation energy (no corrections): 99 meV/atom
# * uncorrected energy: -3.070 eV/atom
# * DOS(E_F): 0.395 states/eV per cell
# * M_tot: 0.0000 μB per atom
# * polymorph energy (0 for the lowest one): 680 meV per atom
data_LiPtI
_chemical_formula_sum 'Li2 Pt2 I2'
_cell_length_a 4.7624
_cell_length_b 4.7624
_cell_length_c 10.0807
_cell_angle_alpha 90.00
_cell_angle_beta 90.00
_cell_angle_gamma 120.00
_symmetry_space_group_name_H-M 'P 63/m m c'
_symmetry_Int_Tables_number 194
_symmetry_space_group_name_Hall '-P 6c 2c'
loop_
_atom_site_label
_atom_site_type_symbol
_atom_site_fract_x
_atom_site_fract_y
_atom_site_fract_z
Li1 Li 0.3333 0.6667 0.2500
Pt1 Pt 0.0000 0.0000 0.0000
I1 I 0.0000 0.0000 0.2500

=====

# PBE NaTb2ErSe4, optimized geometry
# * formation energy (no corrections): -1726 meV/atom
# * uncorrected energy: -5.361 eV/atom
# * DOS(E_F): 2.695 states/eV per cell
# * M_tot: 0.0000 μB per atom
data_NaTb2ErSe4
_chemical_formula_sum 'Na1 Tb2 Er1 Se4'
_cell_length_a 7.114
_cell_length_b 4.072
_cell_length_c 7.116
_cell_angle_alpha 90.00
_cell_angle_beta 108.98
_cell_angle_gamma 90.00
_symmetry_space_group_name_H-M 'P 1 2/m 1'
_symmetry_Int_Tables_number 10
_symmetry_space_group_name_Hall '-P 2y'
loop_
_atom_site_label
_atom_site_type_symbol
_atom_site_fract_x
_atom_site_fract_y
_atom_site_fract_z
Na1 Na 0.000 0.000 0.000
Tb1 Tb 0.000 0.500 0.500
Tb2 Tb 0.500 0.000 0.500
Er1 Er 0.500 0.500 0.000
Se1 Se 0.253 0.000 0.754
Se2 Se 0.254 0.500 0.251

=====

# PBE Mg2NbInOs, optimized geometry
# * formation energy from the elements: 822 kJ/mol of formula units
# * uncorrected energy: -3.741 eV/atom
# * DOS(E_F): 4.989 states/eV per cell
# * M_tot: 0.2000 μB per atom
data_Mg2NbInOs
_chemical_formula_sum 'Mg2 Nb1 In1 Os1'
_cell_length_a 4.814
_cell_length_b 4.814
_cell_length_c 5.216
_cell_angle_alpha 90.00
_cell_angle_beta 90.00
_cell_angle_gamma 90.00
_symmetry_space_group_name_H-M 'P 4/m m m'
_symmetry_Int_Tables_number 123
_symmetry_space_group_name_Hall '-P 4 2'
loop_
_atom_site_label
_atom_site_type_symbol
_atom_site_fract_x
_atom_site_fract_y
_atom_site_fract_z
Mg1 Mg 0.000 0.500 0.000
Nb1 Nb 0.000 0.000 0.500
In1 In 0.000 0.000 0.000
Os1 Os 0.500 0.500 0.500

=====

> Which of these has the lowest uncorrected energy?

NaTb2ErSe4

=====

> Look up the M_tot of the second one.

0.0000 μB per atom

=====

> Among the records above, which one has the highest M_tot?

Mg2NbInOs

=====

> What is the uncorrected energy in the third record?

-5.361 eV/atom